*w*
Density functional theory data (PBE) for crystalline CsTl3Se at its relaxed geometry.

Cell and atoms, written as POSCAR:
```
CsTl3Se
1.0
6.543 0.000 0.000
0.000 6.543 0.000
0.000 0.000 6.543
Tl Cs Se
3 1 1
Direct
0.000 0.500 0.000
0.500 0.000 0.000
0.000 0.000 0.500
0.000 0.000 0.000
0.500 0.500 0.500
```

*x*
Density functional theory data (PBE) for crystalline CsTl3Se at its relaxed geometry.

Cell and atoms, written as POSCAR:
```
CsTl3Se
1.0
-4.198 -0.952 4.479
-2.269 -4.846 -3.156
3.978 -3.768 2.927
Tl Se Cs
3 1 1
Direct
0.000 0.000 0.500
0.500 0.000 0.000
0.000 0.500 0.000
0.000 0.000 0.000
0.500 0.500 0.500
```

The energy of each structure relative to the most stable one, in meV per atom, is as follows: *w* 869; *x* 0.